Computed, not measured: crystalline CuSi2GeW at its relaxed geometry at the PBE-GGA level of DFT.

Structure (POSCAR):
```
CuSi2GeW
1.0
-4.2442 0.6181 -0.3012
-0.5671 -2.0810 3.7194
0.4255 4.0605 2.3367
Ge Si Cu W
1 2 1 1
direct
0.0000 0.0000 0.5000 Ge
0.0000 0.5000 0.0000 Si
0.5000 0.0000 0.0000 Si
0.0000 0.0000 0.0000 Cu
0.5000 0.5000 0.5000 W
```

Values from the calculation:
**Crystal system**: tetragonal
**Spin magnetization**: 0.00 μB per atom
**E_form (uncorrected)**: 1.326 eV/atom
**Energy**: -25.882 eV/f.u.
**DOS at the Fermi energy**: 5.158 states/eV per cell